1) ## KAsBr4 (PBE)

Data for an optimized crystal structure of KAsBr4.

Geometry as POSCAR:
```
KAsBr4
1.0
4.930 -0.004 -0.001
-2.460 6.120 -1.587
0.002 -0.041 8.007
Br K As
4 1 1
direct
0.916 0.770 0.673
0.279 0.742 0.066
0.537 0.258 0.934
0.147 0.230 0.327
0.528 0.000 0.500
0.092 0.000 0.000
```

Properties
- SG = C2, No. 5

---

2) ## KAsBr4 (PBE)

Data for an optimized crystal structure of KAsBr4.

Geometry as POSCAR:
```
KAsBr4
1.0
-3.835 4.308 3.005
-0.542 6.049 -2.326
-5.547 1.923 -2.798
Br K As
4 1 1
direct
0.875 0.375 0.375
0.375 0.375 0.875
0.375 0.875 0.375
0.375 0.375 0.375
0.750 0.750 0.750
0.000 0.000 0.000
```

Properties
- SG = F-43m, No. 216

---

Of the structures shown above, 1) is the most stable.